(1)
Entry from Alexandria via LeMat-Bulk: a relaxed structure of In2AgMo (PBE-GGA).

Results
formation energy: 43.1 kJ per mole of atoms
energy above the most stable polymorph in this dataset: 0.196 eV/atom

The structure in POSCAR format:
```
In2AgMo
1.0
-0.176 3.593 -4.437
-0.422 -2.529 -5.104
-2.290 1.103 5.115
Ag In Mo
1 2 1
Direct
0.250 0.750 0.500
0.002 0.002 0.000
0.498 0.498 0.000
0.750 0.250 0.500
```

---

(2)
Entry from Alexandria via LeMat-Bulk: a relaxed structure of Si4NiAg (PBE-GGA).

Results
total DFT energy (no corrections): -27.24 eV per cell

The structure in POSCAR format:
```
Si4NiAg
1.0
0.000 3.571 3.571
3.571 0.000 3.571
3.571 3.571 0.000
Si Ni Ag
4 1 1
Direct
0.877 0.374 0.374
0.374 0.374 0.877
0.374 0.877 0.374
0.374 0.374 0.374
0.000 0.000 0.000
0.750 0.750 0.750
```

---

(3)
Entry from Alexandria via LeMat-Bulk: a relaxed structure of YCrCu2S (PBE-GGA).

Results
total DFT energy (no corrections): -22.06 eV per cell

The structure in POSCAR format:
```
YCrCu2S
1.0
-2.735 4.270 -0.641
-1.672 -0.361 4.726
3.969 2.785 1.617
Y Cr S Cu
1 1 1 2
Direct
0.000 0.000 0.000
0.500 0.500 0.500
0.000 0.500 0.000
0.000 0.000 0.500
0.500 0.000 0.000
```

---

(4)
Entry from Alexandria via LeMat-Bulk: a relaxed structure of CdSi2Tc (PBE-GGA).

Results
total DFT energy (no corrections): -20.41 eV per cell

The structure in POSCAR format:
```
CdSi2Tc
1.0
-4.726 2.145 0.418
-0.372 -5.194 -0.047
-1.322 -0.955 2.679
Cd Si Tc
1 2 1
Direct
0.000 0.500 0.500
0.000 0.000 0.000
0.500 0.500 0.000
0.500 0.000 0.500
```

---

(5)
Entry from Alexandria via LeMat-Bulk: a relaxed structure of TbGd2Sb (PBE-GGA).

Results
energy above the most stable polymorph in this dataset: 0.000 eV/atom

The structure in POSCAR format:
```
TbGd2Sb
1.0
4.868 0.000 0.000
0.000 4.799 0.000
0.000 0.000 4.799
Sb Gd Tb
1 2 1
Direct
0.500 0.000 0.000
0.000 0.000 0.500
0.000 0.500 0.000
0.500 0.500 0.500
```

---

(6)
Entry from Alexandria via LeMat-Bulk: a relaxed structure of Pa4GeTeAs2 (PBE-GGA).

Results
total DFT energy (no corrections): -61.45 eV per cell

The structure in POSCAR format:
```
Pa4GeTeAs2
1.0
-2.025 -1.005 3.479
-5.263 -3.027 -3.938
1.562 -6.966 -1.102
Pa Ge Te As
4 1 1 2
Direct
0.000 0.767 0.733
0.000 0.233 0.267
0.500 0.758 0.258
0.500 0.242 0.742
0.000 0.500 0.500
0.500 0.500 0.000
0.000 0.000 0.000
0.500 0.000 0.500
```